The following is a PBE-GGA calculation of an optimized crystal structure of Pm2SmEr8, from Alexandria via LeMat-Bulk.

Computed properties:
The calculation puts the energy of formation from the pure elements at 1.263 eV/f.u.

Cell lengths 5.4785, 8.0554, 9.3607 Å; angles 115.48, 107.02, 90.00 degrees
Fractional positions:
Er  0.1607  0.1607  0.3213
Er  0.0000  0.7069  0.0000
Er  0.8393  0.8393  0.6787
Er  0.6386  0.8466  0.2772
Er  0.0000  0.2931  0.0000
Er  0.6386  0.4306  0.2771
Er  0.3614  0.1534  0.7228
Er  0.3614  0.5694  0.7229
Pm  0.7996  0.2996  0.5991
Pm  0.2004  0.7004  0.4009
Sm  0.5000  0.0000  0.0000